Entry 1:
VASP calculation (PBE) on a geometry-optimized ErZn3Ga structure. Values from VASP.

```
&SYSTEM
  ibrav = 0, nat = 5, ntyp = 3
/
ATOMIC_SPECIES
Er 167.26 Er.upf
Zn 65.41 Zn.upf
Ga 69.72 Ga.upf
CELL_PARAMETERS angstrom
-1.129 2.407 3.111
0.302 -3.182 2.555
5.574 1.615 -1.892
ATOMIC_POSITIONS angstrom
Er 4.093 0.974 0.747
Zn 1.688 -1.216 1.558
Zn 0.129 0.031 0.021
Ga 2.578 0.324 3.382
Zn 0.977 1.561 1.834
```

E_tot	-13.20	eV/f.u.
ΔE_f	-358	meV/atom

***

Entry 2:
VASP calculation (PBE) on a geometry-optimized CsSmZnSe3 structure. Values from VASP.

```
&SYSTEM
  ibrav = 0, nat = 12, ntyp = 4
/
ATOMIC_SPECIES
Se 78.96 Se.upf
Zn 65.41 Zn.upf
Cs 132.91 Cs.upf
Sm 150.36 Sm.upf
CELL_PARAMETERS angstrom
8.410 -0.002 0.000
-7.338 4.109 0.000
0.000 0.000 11.226
ATOMIC_POSITIONS angstrom
Se 2.378 1.572 10.503
Zn -0.040 2.203 2.806
Cs -3.305 3.056 8.419
Sm 0.000 0.000 5.613
Se 2.378 1.572 6.336
Se 7.522 0.229 8.419
Se -1.306 2.534 4.890
Zn 1.112 1.903 8.419
Sm 0.000 0.000 0.000
Se -1.306 2.534 0.723
Se -6.450 3.877 2.806
Cs 4.377 1.050 2.806
```

relative energy among the computed polymorphs	0.0000	eV/atom
uncorrected formation energy	-8.51	eV/f.u.
E_tot	-25.81	eV/f.u.

***

Entry 3:
VASP calculation (PBE) on a geometry-optimized Pd2ICl8 structure. Values from VASP.

```
&SYSTEM
  ibrav = 0, nat = 11, ntyp = 3
/
ATOMIC_SPECIES
Cl 35.45 Cl.upf
Pd 106.42 Pd.upf
I 126.90 I.upf
CELL_PARAMETERS angstrom
7.937 0.000 0.000
-3.969 4.972 -2.157
0.000 -2.156 10.422
ATOMIC_POSITIONS angstrom
Cl 0.000 0.205 6.140
Cl -2.285 4.580 -0.288
Cl 2.285 4.580 -0.288
Pd 0.000 -0.060 3.816
Cl 0.000 2.194 3.570
Cl 6.253 -1.764 8.554
Pd 3.969 2.876 4.449
Cl 3.969 0.622 4.695
Cl 3.969 2.612 2.125
I 0.000 0.000 0.000
Cl 1.684 -1.764 8.554
```

uncorrected formation energy	-2.39	eV/f.u.
E_tot	-29.10	eV/f.u.

***

Entry 4:
VASP calculation (PBE) on a geometry-optimized MgZn2Hg structure. Values from VASP.

```
&SYSTEM
  ibrav = 0, nat = 4, ntyp = 3
/
ATOMIC_SPECIES
Hg 200.59 Hg.upf
Mg 24.30 Mg.upf
Zn 65.41 Zn.upf
CELL_PARAMETERS angstrom
3.101 0.012 0.000
-0.014 3.101 0.000
0.000 0.000 7.946
ATOMIC_POSITIONS angstrom
Hg 1.544 1.557 1.987
Mg 1.544 1.557 5.960
Zn 0.000 0.000 7.876
Zn 0.000 0.000 4.044
```

relative energy among the computed polymorphs	0.0755	eV/atom
E_tot	-4.27	eV/f.u.
ΔE_f	43	meV/atom